Arrangement P

# Er12CdPd6

A geometry-optimized Er12CdPd6 structure (PBE, Alexandria via LeMat-Bulk).

Output
SG: R-3

Unit cell a=8.6044 b=8.6044 c=8.6044 alpha=108.76 beta=108.76 gamma=108.76
With the nearest neighbours (Å) after each atom.
Positions (direct):
Er: 0.0561 0.3534 0.1203  3 Pd 2.78-2.97
Er: 0.1203 0.0561 0.3534  3 Pd 2.78-2.97
Er: 0.1733 0.4670 0.6388  3 Pd 2.78-2.86
Er: 0.3534 0.1203 0.0561  3 Pd 2.78-2.97
Er: 0.3612 0.8267 0.5330  3 Pd 2.78-2.86
Er: 0.4670 0.6388 0.1733  3 Pd 2.78-2.86
Er: 0.5330 0.3612 0.8267  3 Pd 2.78-2.86
Er: 0.6388 0.1733 0.4670  3 Pd 2.78-2.86
Er: 0.6466 0.8797 0.9439  3 Pd 2.78-2.97
Er: 0.8267 0.5330 0.3612  3 Pd 2.78-2.86
Er: 0.8797 0.9439 0.6466  3 Pd 2.78-2.97
Er: 0.9439 0.6466 0.8797  3 Pd 2.78-2.97
Cd: 0.5000 0.5000 0.5000  12 Er 3.36-3.62
Pd: 0.1472 0.7946 0.7174  6 Er 2.78-2.97
Pd: 0.2054 0.2826 0.8528  6 Er 2.78-2.97
Pd: 0.2826 0.8528 0.2054  6 Er 2.78-2.97
Pd: 0.7174 0.1472 0.7946  6 Er 2.78-2.97
Pd: 0.7946 0.7174 0.1472  6 Er 2.78-2.97
Pd: 0.8528 0.2054 0.2826  6 Er 2.78-2.97

---

Arrangement Q

# Er12CdPd6

A geometry-optimized Er12CdPd6 structure (PBE, Alexandria via LeMat-Bulk).

Output
SG: Im-3

Unit cell a=8.5344 b=8.5344 c=8.5344 alpha=109.47 beta=109.47 gamma=109.47
With the nearest neighbours (Å) after each atom.
Positions (direct):
Er: 0.1125 0.8173 0.2952  1 Pd 2.68
Er: 0.1827 0.2952 0.4779  1 Pd 2.68
Er: 0.1827 0.7048 0.8875  1 Pd 2.68
Er: 0.2952 0.1125 0.8173  1 Pd 2.68
Er: 0.2952 0.4779 0.1827  1 Pd 2.68
Er: 0.4779 0.1827 0.2952  1 Pd 2.68
Er: 0.5221 0.8173 0.7048  1 Pd 2.68
Er: 0.7048 0.5221 0.8173  1 Pd 2.68
Er: 0.7048 0.8875 0.1827  1 Pd 2.68
Er: 0.8173 0.2952 0.1125  1 Pd 2.68
Er: 0.8173 0.7048 0.5221  1 Pd 2.68
Er: 0.8875 0.1827 0.7048  1 Pd 2.68
Cd: 0.0000 0.0000 0.0000  12 Er 3.42
Pd: 0.1377 0.6377 0.5000  2 Er 2.68, 1 Pd 2.71
Pd: 0.3623 0.5000 0.8623  2 Er 2.68, 1 Pd 2.71
Pd: 0.5000 0.1377 0.6377  2 Er 2.68, 1 Pd 2.71
Pd: 0.5000 0.8623 0.3623  2 Er 2.68, 1 Pd 2.71
Pd: 0.6377 0.5000 0.1377  2 Er 2.68, 1 Pd 2.71
Pd: 0.8623 0.3623 0.5000  2 Er 2.68, 1 Pd 2.71

---

Energetically preferred structure: arrangement Q | next structure: +103 meV/atom

---

Arrangement P

# ErCd2Pd3

A geometry-optimized ErCd2Pd3 structure (PBE, Alexandria via LeMat-Bulk).

Output
SG: P-3m1

Unit cell a=4.7442 b=4.7442 c=5.7219 alpha=90.00 beta=90.00 gamma=120.00
With the nearest neighbours (Å) after each atom.
Positions (direct):
Er: 0.0000 0.0000 0.0000  8 Pd 2.86-2.92
Cd: 0.3333 0.6667 0.6669  8 Pd 2.81-2.91
Cd: 0.6667 0.3333 0.3331  8 Pd 2.81-2.91
Pd: 0.0000 0.0000 0.5000  2 Er 2.86, 6 Cd 2.90
Pd: 0.3333 0.6667 0.1750  5 Cd 2.81-2.91, 3 Er 2.92
Pd: 0.6667 0.3333 0.8250  5 Cd 2.81-2.91, 3 Er 2.92

---

Arrangement Q

# ErCd2Pd3

A geometry-optimized ErCd2Pd3 structure (PBE, Alexandria via LeMat-Bulk).

Output
SG: P-3m1

Unit cell a=4.7287 b=4.7287 c=11.5254 alpha=90.00 beta=90.00 gamma=120.00
With the nearest neighbours (Å) after each atom.
Positions (direct):
Er: 0.3333 0.6667 0.1688  8 Pd 2.85-2.92
Er: 0.6667 0.3333 0.8312  8 Pd 2.85-2.92
Cd: 0.0000 0.0000 0.0000  8 Pd 2.90-2.95
Cd: 0.0000 0.0000 0.5000  8 Pd 2.82-2.90
Cd: 0.3333 0.6667 0.6627  8 Pd 2.84-2.91
Cd: 0.6667 0.3333 0.3373  8 Pd 2.84-2.91
Pd: 0.0000 0.0000 0.2557  5 Cd 2.82-2.95, 3 Er 2.91
Pd: 0.0000 0.0000 0.7443  5 Cd 2.82-2.95, 3 Er 2.91
Pd: 0.3333 0.6667 0.4164  7 Cd 2.84-2.90, 1 Er 2.85
Pd: 0.3333 0.6667 0.9152  4 Er 2.90-2.92, 4 Cd 2.90-2.91
Pd: 0.6667 0.3333 0.0848  4 Er 2.90-2.92, 4 Cd 2.90-2.91
Pd: 0.6667 0.3333 0.5836  7 Cd 2.84-2.90, 1 Er 2.85

---

Energetically preferred structure: arrangement Q | next structure: +8 meV/atom

---

Arrangement P

# Er2CdPd4

A geometry-optimized Er2CdPd4 structure (PBE, Alexandria via LeMat-Bulk).

Output
SG: C2/m

Unit cell a=7.7737 b=4.9894 c=7.4902 alpha=90.00 beta=95.89 gamma=90.00
With the nearest neighbours (Å) after each atom.
Positions (direct):
Er: 0.2121 0.0000 0.2854  8 Pd 2.74-3.06
Er: 0.2879 0.5000 0.7146  8 Pd 2.74-3.06
Er: 0.7121 0.5000 0.2854  8 Pd 2.74-3.06
Er: 0.7879 0.0000 0.7146  8 Pd 2.74-3.06
Cd: 0.0000 0.5000 0.0000  8 Pd 2.74-2.90
Cd: 0.5000 0.0000 0.0000  8 Pd 2.74-2.90
Pd: 0.0936 0.5000 0.3629  2 Pd 2.64-2.89, 1 Cd 2.74, 3 Er 2.74-2.90
Pd: 0.1437 0.0000 0.8843  3 Cd 2.82-2.90, 2 Pd 2.89-2.96, 4 Er 2.92-3.06
Pd: 0.3563 0.5000 0.1157  3 Cd 2.82-2.90, 2 Pd 2.89-2.96, 4 Er 2.92-3.06
Pd: 0.4064 0.0000 0.6371  2 Pd 2.64-2.89, 1 Cd 2.74, 3 Er 2.74-2.90
Pd: 0.5936 0.0000 0.3629  2 Pd 2.64-2.89, 1 Cd 2.74, 3 Er 2.74-2.90
Pd: 0.6437 0.5000 0.8843  3 Cd 2.82-2.90, 2 Pd 2.89-2.96, 4 Er 2.92-3.06
Pd: 0.8563 0.0000 0.1157  3 Cd 2.82-2.90, 2 Pd 2.89-2.96, 4 Er 2.92-3.06
Pd: 0.9064 0.5000 0.6371  2 Pd 2.64-2.89, 1 Cd 2.74, 3 Er 2.74-2.90

---

Arrangement Q

# Er2CdPd4

A geometry-optimized Er2CdPd4 structure (PBE, Alexandria via LeMat-Bulk).

Output
SG: I4/mmm

Unit cell a=4.0590 b=4.0590 c=18.3235 alpha=90.00 beta=90.00 gamma=90.00
With the nearest neighbours (Å) after each atom.
Positions (direct):
Er: 0.0000 0.0000 0.1328  8 Pd 2.88-2.95
Er: 0.0000 0.0000 0.8672  8 Pd 2.88-2.95
Er: 0.5000 0.5000 0.3672  8 Pd 2.88-2.95
Er: 0.5000 0.5000 0.6328  8 Pd 2.88-2.95
Cd: 0.0000 0.0000 0.5000  2 Pd 2.65
Cd: 0.5000 0.5000 0.0000  2 Pd 2.65
Pd: 0.0000 0.0000 0.3554  1 Cd 2.65, 4 Pd 2.80, 4 Er 2.88
Pd: 0.0000 0.0000 0.6446  1 Cd 2.65, 4 Pd 2.80, 4 Er 2.88
Pd: 0.0000 0.5000 0.2500  8 Pd 2.80-2.87, 4 Er 2.95
Pd: 0.0000 0.5000 0.7500  8 Pd 2.80-2.87, 4 Er 2.95
Pd: 0.5000 0.0000 0.2500  8 Pd 2.80-2.87, 4 Er 2.95
Pd: 0.5000 0.0000 0.7500  8 Pd 2.80-2.87, 4 Er 2.95
Pd: 0.5000 0.5000 0.1446  1 Cd 2.65, 4 Pd 2.80, 4 Er 2.88
Pd: 0.5000 0.5000 0.8554  1 Cd 2.65, 4 Pd 2.80, 4 Er 2.88

---

Energetically preferred structure: arrangement Q | next structure: +41 meV/atom